(1)
The following is a PBE calculation of a relaxed structure of Sr4ReAg, from Alexandria via LeMat-Bulk.

Cell: 6.722 6.722 6.722 Å, 60.00 60.00 60.00°
Positions (direct):
Sr (0.376, 0.376, 0.376)
Sr (0.376, 0.376, 0.872)
Sr (0.376, 0.872, 0.376)
Sr (0.872, 0.376, 0.376)
Re (0.750, 0.750, 0.750)
Ag (0.000, 0.000, 0.000)

**Total moment**: 2.562 μB per cell

***

(2)
The following is a PBE calculation of a relaxed structure of SrReAg3, from Alexandria via LeMat-Bulk.

Cell: 5.153 5.153 5.153 Å, 90.00 90.00 90.00°
Positions (direct):
Sr (0.000, 0.000, 0.000)
Re (0.500, 0.500, 0.500)
Ag (0.000, 0.500, 0.500)
Ag (0.500, 0.000, 0.500)
Ag (0.500, 0.500, 0.000)

**Total moment**: 1.981 μB per cell
**Polymorph energy (0 for the lowest one)**: 0.0 kJ per mole of atoms

***

(3)
The following is a PBE calculation of a relaxed structure of SrReAg, from Alexandria via LeMat-Bulk.

Cell: 4.895 4.895 4.895 Å, 60.00 60.00 60.00°
Positions (direct):
Sr (0.000, 0.000, 0.000)
Re (0.500, 0.500, 0.500)
Ag (0.750, 0.750, 0.750)

**Total moment**: 3.362 μB per cell
**Polymorph energy (0 for the lowest one)**: 46.4 kJ per mole of atoms

***

(4)
The following is a PBE calculation of a relaxed structure of SrRe2Ag, from Alexandria via LeMat-Bulk.

Cell: 10.495 10.495 10.495 Å, 155.36 155.36 35.13°
Positions (direct):
Sr (0.000, 0.000, 0.000)
Sr (0.750, 0.250, 0.500)
Re (0.290, 0.125, 0.665)
Re (0.375, 0.710, 0.835)
Re (0.460, 0.625, 0.335)
Re (0.875, 0.540, 0.165)
Ag (0.250, 0.750, 0.500)
Ag (0.500, 0.500, 0.000)

**Total moment**: 0.000 μB per cell
**Polymorph energy (0 for the lowest one)**: 71.8 kJ per mole of atoms

***

no.,raw total energy (eV/atom),energy relative to the elements (meV/atom)
1,-2.35,1321
2,-3.69,847
3,-4.31,1355
4,-6.18,1181